Compound: InCoNO
Source: the Open Quantum Materials Database
Functional: PBE with a Hubbard U
Structure: relaxed

Cell: 4.2996 4.2996 5.5785 Å, 90.00 90.00 90.00°
Closest atoms and distances in Å follow each position.
Sites, in units of the cell vectors:
In: 0.2500 0.7500 0.0000  4 N 2.20
In: 0.7500 0.2500 0.0000  4 N 2.20
Co: 0.2500 0.2500 0.4663  1 N 2.12, 4 O 2.16
Co: 0.7500 0.7500 0.5337  1 N 2.12, 4 O 2.16
N: 0.2500 0.2500 0.0870  1 Co 2.12, 4 In 2.20
N: 0.7500 0.7500 0.9130  1 Co 2.12, 4 In 2.20
O: 0.2500 0.7500 0.5000  4 Co 2.16
O: 0.7500 0.2500 0.5000  4 Co 2.16

For the distance to the lowest polymorph of the same formula, the calculation gives 0.463 eV per atom. The magnetization is 1.8 μB/cell.